# 1
A plane-wave DFT calculation with GGA-PBE was carried out for crystalline LaCrNi at its relaxed geometry.

## Properties
For the offset from the most stable computed form, the calculation gives 0.000 eV per atom.

Geometry as CIF:
```
data_LaCrNi
_chemical_formula_sum 'La1 Cr1 Ni1'
_cell_length_a 4.1829
_cell_length_b 4.1829
_cell_length_c 4.1595
_cell_angle_alpha 90.00
_cell_angle_beta 90.00
_cell_angle_gamma 120.00
_space_group_name_H-M_alt 'P -6 m 2'
_space_group_IT_number 187
_space_group_name_Hall 'P -6 2'
loop_
_atom_site_label
_atom_site_fract_x
_atom_site_fract_y
_atom_site_fract_z
La1 0.0000 0.0000 0.0000
Cr1 0.3333 0.6667 0.5000
Ni1 0.6667 0.3333 0.5000
```

# 2
A plane-wave DFT calculation with GGA-PBE was carried out for crystalline La2CrNi at its relaxed geometry.

## Properties
For the offset from the most stable computed form, the calculation gives 0.032 eV per atom.

Geometry as CIF:
```
data_La2CrNi
_chemical_formula_sum 'La4 Cr2 Ni2'
_cell_length_a 3.5960
_cell_length_b 4.6533
_cell_length_c 11.3024
_cell_angle_alpha 90.00
_cell_angle_beta 90.00
_cell_angle_gamma 90.00
_space_group_name_H-M_alt 'I m m 2'
_space_group_IT_number 44
_space_group_name_Hall 'I 2 -2'
loop_
_atom_site_label
_atom_site_fract_x
_atom_site_fract_y
_atom_site_fract_z
La1 0.0000 0.0000 0.0000
La2 0.0000 0.5000 0.2098
Cr1 0.0000 0.5000 0.7944
Ni1 0.0000 0.0000 0.4391
```

# 3
A plane-wave DFT calculation with GGA-PBE was carried out for crystalline La2CrNi at its relaxed geometry.

## Properties
For the offset from the most stable computed form, the calculation gives 0.027 eV per atom.

Geometry as CIF:
```
data_La2CrNi
_chemical_formula_sum 'La2 Cr1 Ni1'
_cell_length_a 3.6579
_cell_length_b 3.6579
_cell_length_c 7.2049
_cell_angle_alpha 90.00
_cell_angle_beta 90.00
_cell_angle_gamma 90.00
_space_group_name_H-M_alt 'P 4/m m m'
_space_group_IT_number 123
_space_group_name_Hall '-P 4 2'
loop_
_atom_site_label
_atom_site_fract_x
_atom_site_fract_y
_atom_site_fract_z
La1 0.0000 0.0000 0.2343
Cr1 0.5000 0.5000 0.5000
Ni1 0.5000 0.5000 0.0000
```

# 4
A plane-wave DFT calculation with GGA-PBE was carried out for crystalline La2CrNi2 at its relaxed geometry.

## Properties
The calculation puts the total energy at -60.0 eV/cell.

Geometry as CIF:
```
data_La2CrNi2
_chemical_formula_sum 'La4 Cr2 Ni4'
_cell_length_a 6.7890
_cell_length_b 6.7890
_cell_length_c 4.3517
_cell_angle_alpha 90.00
_cell_angle_beta 90.00
_cell_angle_gamma 90.00
_space_group_name_H-M_alt 'P 4/m b m'
_space_group_IT_number 127
_space_group_name_Hall '-P 4 2ab'
loop_
_atom_site_label
_atom_site_fract_x
_atom_site_fract_y
_atom_site_fract_z
La1 0.1800 0.3200 0.0000
Cr1 0.0000 0.0000 0.5000
Ni1 0.1342 0.6342 0.5000
```

# 5
A plane-wave DFT calculation with GGA-PBE was carried out for crystalline LaCrNi2 at its relaxed geometry.

## Properties
For the offset from the most stable computed form, the calculation gives 0.024 eV per atom.

Geometry as CIF:
```
data_LaCrNi2
_chemical_formula_sum 'La4 Cr4 Ni8'
_cell_length_a 6.3926
_cell_length_b 6.3926
_cell_length_c 6.3926
_cell_angle_alpha 90.00
_cell_angle_beta 90.00
_cell_angle_gamma 90.00
_space_group_name_H-M_alt 'F -4 3 m'
_space_group_IT_number 216
_space_group_name_Hall 'F -4 2 3'
loop_
_atom_site_label
_atom_site_fract_x
_atom_site_fract_y
_atom_site_fract_z
La1 0.0000 0.0000 0.0000
Cr1 0.2500 0.2500 0.2500
Ni1 0.0000 0.0000 0.5000
Ni2 0.2500 0.2500 0.7500
```

# 6
A plane-wave DFT calculation with GGA-PBE was carried out for crystalline La2CrNi at its relaxed geometry.

## Properties
For the offset from the most stable computed form, the calculation gives 0.252 eV per atom.

Geometry as CIF:
```
data_La2CrNi
_chemical_formula_sum 'La8 Cr4 Ni4'
_cell_length_a 8.0626
_cell_length_b 8.0626
_cell_length_c 6.2242
_cell_angle_alpha 90.00
_cell_angle_beta 90.00
_cell_angle_gamma 90.00
_space_group_name_H-M_alt 'I -4 2 d'
_space_group_IT_number 122
_space_group_name_Hall 'I -4 2bw'
loop_
_atom_site_label
_atom_site_fract_x
_atom_site_fract_y
_atom_site_fract_z
La1 0.2017 0.2500 0.1250
Cr1 0.0000 0.0000 0.5000
Ni1 0.0000 0.0000 0.0000
```

# 7
A plane-wave DFT calculation with GGA-PBE was carried out for crystalline LaCrNi at its relaxed geometry.

## Properties
For the offset from the most stable computed form, the calculation gives 0.149 eV per atom.

Geometry as CIF:
```
data_LaCrNi
_chemical_formula_sum 'La4 Cr4 Ni4'
_cell_length_a 6.4949
_cell_length_b 6.4949
_cell_length_c 6.4949
_cell_angle_alpha 90.00
_cell_angle_beta 90.00
_cell_angle_gamma 90.00
_space_group_name_H-M_alt 'F -4 3 m'
_space_group_IT_number 216
_space_group_name_Hall 'F -4 2 3'
loop_
_atom_site_label
_atom_site_fract_x
_atom_site_fract_y
_atom_site_fract_z
La1 0.0000 0.0000 0.0000
Cr1 0.0000 0.0000 0.5000
Ni1 0.2500 0.2500 0.2500
```

# 8
A plane-wave DFT calculation with GGA-PBE was carried out for crystalline La2CrNi at its relaxed geometry.

## Properties
For the offset from the most stable computed form, the calculation gives 0.080 eV per atom.

Geometry as CIF:
```
data_La2CrNi
_chemical_formula_sum 'La8 Cr4 Ni4'
_cell_length_a 7.2886
_cell_length_b 7.2886
_cell_length_c 7.2886
_cell_angle_alpha 90.00
_cell_angle_beta 90.00
_cell_angle_gamma 90.00
_space_group_name_H-M_alt 'F m -3 m'
_space_group_IT_number 225
_space_group_name_Hall '-F 4 2 3'
loop_
_atom_site_label
_atom_site_fract_x
_atom_site_fract_y
_atom_site_fract_z
La1 0.2500 0.2500 0.2500
Cr1 0.0000 0.0000 0.0000
Ni1 0.0000 0.0000 0.5000
```

| no. | density (g/cm³) |
| --- | --- |
| 1 | 6.58 |
| 2 | 6.82 |
| 3 | 6.69 |
| 4 | 7.40 |
| 5 | 7.84 |
| 6 | 6.38 |
| 7 | 6.05 |
| 8 | 6.66 |